[1]
# TbSm3Pt2 | Alexandria | PBE | relaxed
data_TbSm3Pt2
_chemical_formula_sum 'Tb2 Sm6 Pt4'
_cell_length_a 4.846
_cell_length_b 7.279
_cell_length_c 9.002
_cell_angle_alpha 90.00
_cell_angle_beta 90.00
_cell_angle_gamma 90.00
_symmetry_space_group_name_H-M 'P 1'
_symmetry_Int_Tables_number 1
loop_
_symmetry_equiv_pos_as_xyz
'x,y,z'
loop_
_atom_site_label
_atom_site_type_symbol
_atom_site_fract_x
_atom_site_fract_y
_atom_site_fract_z
Pt1 Pt 0.500 0.739 0.838
Pt2 Pt 0.500 0.239 0.162
Pt3 Pt 0.000 0.761 0.343
Pt4 Pt 0.000 0.261 0.657
Sm1 Sm 0.000 0.355 0.336
Sm2 Sm 0.000 0.493 0.916
Sm3 Sm 0.500 0.644 0.167
Sm4 Sm 0.000 0.855 0.664
Sm5 Sm 0.500 0.144 0.833
Sm6 Sm 0.000 0.993 0.084
Tb1 Tb 0.500 0.007 0.415
Tb2 Tb 0.500 0.507 0.585
# Total moment (μB/cell): 0.00
# Symmetry: Pmc2_1, No. 26
# Crystal system: orthorhombic
# Raw total energy (eV per atom): -6.0153
# Energy of formation from the pure elements (eV/f.u.): -5.22

=====

[2]
# Tb3SmPt8 | Alexandria | PBE | relaxed
data_Tb3SmPt8
_chemical_formula_sum 'Tb3 Sm1 Pt8'
_cell_length_a 5.471
_cell_length_b 5.471
_cell_length_c 8.919
_cell_angle_alpha 90.00
_cell_angle_beta 90.00
_cell_angle_gamma 120.00
_symmetry_space_group_name_H-M 'P 1'
_symmetry_Int_Tables_number 1
loop_
_symmetry_equiv_pos_as_xyz
'x,y,z'
loop_
_atom_site_label
_atom_site_type_symbol
_atom_site_fract_x
_atom_site_fract_y
_atom_site_fract_z
Pt1 Pt 0.164 0.836 0.249
Pt2 Pt 0.164 0.329 0.249
Pt3 Pt 0.671 0.836 0.249
Pt4 Pt 0.502 0.498 0.751
Pt5 Pt 0.333 0.667 0.000
Pt6 Pt 0.995 0.498 0.751
Pt7 Pt 0.333 0.667 0.500
Pt8 Pt 0.502 0.005 0.751
Sm1 Sm 0.000 0.000 0.566
Tb1 Tb 0.000 0.000 0.937
Tb2 Tb 0.667 0.333 0.064
Tb3 Tb 0.667 0.333 0.433
# Total moment (μB/cell): 0.00
# Symmetry: P3m1, No. 156
# Crystal system: trigonal
# Raw total energy (eV per atom): -6.6362
# Energy of formation from the pure elements (eV/f.u.): -12.70